Record 1
Computed, not measured: a relaxed NdY6Er5 crystal at the PBE-GGA level of DFT.

Geometry as POSCAR:
```
NdY6Er5
1.0
-2.610 3.317 2.719
2.912 0.024 7.402
6.495 7.225 -2.578
Er Nd Y
5 1 6
Direct
0.333 0.333 0.500
0.000 0.000 0.500
0.667 0.667 0.500
0.668 0.664 0.000
0.332 0.336 0.000
0.000 0.000 0.000
0.833 0.334 0.252
0.500 0.000 0.748
0.500 0.000 0.252
0.167 0.666 0.252
0.833 0.334 0.748
0.167 0.666 0.748
```

Results
DOS(E_F)   17.01 states/eV/f.u.
Total DFT energy (no corrections)   -5.50 eV per atom
Total magnetic moment   0.000 μB per atom
Calculated formation energy   26 meV/atom

***

Record 2
Computed, not measured: a relaxed Nd2Y3Er3 crystal at the PBE-GGA level of DFT.

Geometry as POSCAR:
```
Nd2Y3Er3
1.0
5.784 0.000 0.000
0.000 5.986 -0.255
-2.892 -2.714 7.644
Er Nd Y
3 2 3
Direct
0.627 0.080 0.255
0.500 0.500 0.000
0.373 0.920 0.745
0.749 0.688 0.499
0.251 0.312 0.501
0.129 0.677 0.257
0.000 0.000 0.000
0.871 0.323 0.743
```

Results
DOS(E_F)   13.52 states/eV/f.u.
Total DFT energy (no corrections)   -5.23 eV per atom
Distance to the lowest polymorph of the same formula   69.8 kJ/mol of formula units
Total magnetic moment   0.000 μB per atom
Calculated formation energy   95 meV/atom

***

Record 3
Computed, not measured: a relaxed Nd4YEr5 crystal at the PBE-GGA level of DFT.

Geometry as POSCAR:
```
Nd4YEr5
1.0
-1.708 -0.796 -2.977
9.713 -3.259 -4.701
-0.460 -7.568 4.359
Er Nd Y
5 4 1
Direct
0.174 0.949 0.348
0.173 0.549 0.346
0.500 0.500 0.000
0.826 0.051 0.652
0.827 0.451 0.654
0.032 0.749 0.065
0.344 0.750 0.685
0.968 0.251 0.935
0.656 0.250 0.315
0.500 0.000 0.000
```

Results
DOS(E_F)   13.35 states/eV/f.u.
Total DFT energy (no corrections)   -4.64 eV per atom
Distance to the lowest polymorph of the same formula   0.0 kJ/mol of formula units
Total magnetic moment   0.000 μB per atom
Calculated formation energy   195 meV/atom

***

Record 4
Computed, not measured: a relaxed Nd2Y3Er7 crystal at the PBE-GGA level of DFT.

Geometry as POSCAR:
```
Nd2Y3Er7
1.0
-1.359 0.271 -3.228
1.515 -6.031 -1.145
-14.337 -9.280 5.255
Y Er Nd
3 7 2
Direct
0.500 0.500 0.000
0.000 0.109 0.342
0.000 0.891 0.658
0.000 0.438 0.837
0.000 0.000 0.000
0.500 0.757 0.499
0.500 0.060 0.165
0.000 0.562 0.163
0.500 0.940 0.835
0.500 0.243 0.501
0.500 0.386 0.674
0.500 0.614 0.326
```

Results
DOS(E_F)   17.93 states/eV/f.u.
Total DFT energy (no corrections)   -4.99 eV per atom
Distance to the lowest polymorph of the same formula   0.0 kJ/mol of formula units
Total magnetic moment   0.000 μB per atom
Calculated formation energy   82 meV/atom

***

Record 5
Computed, not measured: a relaxed NdYEr4 crystal at the PBE-GGA level of DFT.

Geometry as POSCAR:
```
NdYEr4
1.0
6.571 0.000 0.000
3.285 5.690 0.000
3.285 1.897 5.365
Er Nd Y
4 1 1
Direct
0.625 0.625 0.124
0.625 0.124 0.625
0.625 0.625 0.625
0.124 0.625 0.625
0.250 0.250 0.250
0.000 0.000 0.000
```

Results
DOS(E_F)   12.04 states/eV/f.u.
Total DFT energy (no corrections)   -4.65 eV per atom
Distance to the lowest polymorph of the same formula   145.2 kJ/mol of formula units
Total magnetic moment   0.224 μB per atom
Calculated formation energy   262 meV/atom

***

Record 6
Computed, not measured: a relaxed Nd5YEr12 crystal at the PBE-GGA level of DFT.

Geometry as POSCAR:
```
Nd5YEr12
1.0
11.357 0.000 -0.007
5.678 8.627 -0.004
-0.013 0.000 5.925
Er Nd Y
12 5 1
Direct
0.657 0.332 0.050
0.509 0.335 0.550
0.843 0.665 0.550
0.820 0.000 0.445
0.989 0.668 0.050
0.343 0.668 0.950
0.321 0.000 0.055
0.491 0.665 0.450
0.679 0.000 0.945
0.180 0.000 0.555
0.011 0.332 0.950
0.157 0.335 0.450
0.837 0.326 0.500
0.333 0.333 0.000
0.500 0.000 0.500
0.163 0.674 0.500
0.667 0.667 0.000
0.000 0.000 0.000
```

Results
DOS(E_F)   32.11 states/eV/f.u.
Total DFT energy (no corrections)   -4.62 eV per atom
Total magnetic moment   0.000 μB per atom
Calculated formation energy   103 meV/atom

***

Record 7
Computed, not measured: a relaxed NdY2Er5 crystal at the PBE-GGA level of DFT.

Geometry as POSCAR:
```
NdY2Er5
1.0
-2.670 -6.288 -1.888
-0.606 -1.792 6.830
-2.975 5.968 -2.373
Er Y Nd
5 2 1
Direct
0.722 0.222 0.944
0.722 0.722 0.944
0.222 0.722 0.944
0.222 0.222 0.944
0.722 0.722 0.444
0.222 0.722 0.444
0.722 0.222 0.444
0.222 0.222 0.445
```

Results
DOS(E_F)   11.13 states/eV/f.u.
Total DFT energy (no corrections)   -5.04 eV per atom
Distance to the lowest polymorph of the same formula   14.9 kJ/mol of formula units
Total magnetic moment   0.000 μB per atom
Calculated formation energy   24 meV/atom

***

Record 8
Computed, not measured: a relaxed Nd2YEr crystal at the PBE-GGA level of DFT.

Geometry as POSCAR:
```
Nd2YEr
1.0
-0.754 2.290 -5.218
-5.297 0.524 -2.171
-2.384 5.203 -0.538
Y Nd Er
1 2 1
Direct
0.500 0.500 0.500
0.750 0.750 0.750
0.250 0.250 0.250
0.000 0.000 0.000
```

Results
DOS(E_F)   7.42 states/eV/f.u.
Total DFT energy (no corrections)   -5.04 eV per atom
Distance to the lowest polymorph of the same formula   35.3 kJ/mol of formula units
Total magnetic moment   0.000 μB per atom
Calculated formation energy   103 meV/atom

***

Record 9
Computed, not measured: a relaxed Nd12Y5Er2 crystal at the PBE-GGA level of DFT.

Geometry as POSCAR:
```
Nd12Y5Er2
1.0
-2.768 -4.440 4.870
-6.075 -2.590 -5.814
10.509 -4.275 -3.170
Nd Er Y
12 2 5
Direct
0.947 0.794 0.400
0.362 0.385 0.211
0.858 0.940 0.715
0.053 0.206 0.600
0.548 0.695 0.096
0.151 0.615 0.789
0.453 0.794 0.400
0.142 0.060 0.285
0.547 0.206 0.600
0.849 0.385 0.211
0.452 0.305 0.904
0.638 0.615 0.789
0.742 0.000 0.000
0.258 0.000 0.000
0.650 0.097 0.299
0.249 0.491 0.498
0.751 0.509 0.502
0.350 0.903 0.701
0.000 0.500 0.000
```

Results
DOS(E_F)   27.23 states/eV/f.u.
Total DFT energy (no corrections)   -5.06 eV per atom
Distance to the lowest polymorph of the same formula   0.0 kJ/mol of formula units
Total magnetic moment   0.000 μB per atom
Calculated formation energy   134 meV/atom

***

Record 10
Computed, not measured: a relaxed Nd5Y4Er crystal at the PBE-GGA level of DFT.

Geometry as POSCAR:
```
Nd5Y4Er
1.0
-0.640 5.936 -1.274
-6.914 3.026 2.949
3.179 4.720 5.769
Er Nd Y
1 5 4
Direct
0.222 0.000 0.000
0.687 0.000 0.000
0.145 0.000 0.624
0.769 0.376 0.000
0.145 0.624 0.000
0.769 0.000 0.376
0.119 0.324 0.324
0.443 0.324 0.676
0.443 0.676 0.324
0.767 0.676 0.676
```

Results
DOS(E_F)   14.77 states/eV/f.u.
Total DFT energy (no corrections)   -5.18 eV per atom
Distance to the lowest polymorph of the same formula   37.6 kJ/mol of formula units
Total magnetic moment   0.000 μB per atom
Calculated formation energy   249 meV/atom

***

Record 11
Computed, not measured: a relaxed Nd5Y2Er12 crystal at the PBE-GGA level of DFT.

Geometry as POSCAR:
```
Nd5Y2Er12
1.0
7.020 0.000 0.000
-3.510 8.716 2.748
0.000 0.638 10.376
Er Nd Y
12 5 2
Direct
0.405 0.316 0.131
0.089 0.684 0.869
0.584 0.674 0.522
0.416 0.326 0.478
0.090 0.674 0.522
0.503 0.006 0.326
0.911 0.316 0.131
0.497 0.994 0.674
0.910 0.326 0.478
0.975 0.949 0.248
0.595 0.684 0.869
0.025 0.051 0.752
0.188 0.376 0.818
0.000 0.000 0.500
0.682 0.364 0.789
0.318 0.636 0.211
0.812 0.624 0.182
0.270 0.000 0.000
0.730 0.000 0.000
```

Results
DOS(E_F)   26.24 states/eV/f.u.
Total DFT energy (no corrections)   -4.64 eV per atom
Distance to the lowest polymorph of the same formula   214.9 kJ/mol of formula units
Total magnetic moment   0.000 μB per atom
Calculated formation energy   180 meV/atom

***

Record 12
Computed, not measured: a relaxed Nd7Y6Er16 crystal at the PBE-GGA level of DFT.

Geometry as POSCAR:
```
Nd7Y6Er16
1.0
9.680 0.000 5.589
3.227 9.127 5.589
0.000 0.000 11.178
Nd Er Y
7 16 6
Direct
0.500 0.000 0.000
0.000 0.500 0.500
0.500 0.000 0.500
0.000 0.000 0.000
0.000 0.000 0.500
0.500 0.500 0.000
0.000 0.500 0.000
0.127 0.127 0.618
0.348 0.957 0.348
0.348 0.348 0.957
0.957 0.348 0.348
0.873 0.382 0.873
0.382 0.873 0.873
0.873 0.873 0.873
0.652 0.652 0.043
0.127 0.127 0.127
0.043 0.652 0.652
0.652 0.043 0.652
0.873 0.873 0.382
0.348 0.348 0.348
0.652 0.652 0.652
0.127 0.618 0.127
0.618 0.127 0.127
0.266 0.266 0.734
0.266 0.734 0.266
0.734 0.266 0.734
0.734 0.734 0.266
0.266 0.734 0.734
0.734 0.266 0.266
```

Results
DOS(E_F)   59.02 states/eV/f.u.
Total DFT energy (no corrections)   -4.76 eV per atom
Total magnetic moment   0.000 μB per atom
Calculated formation energy   250 meV/atom